No. 1
Entry from Alexandria via LeMat-Bulk: NpZnPN after structural relaxation (GGA-PBE).

Calculated values
DOS(E_F)	12.5	states/eV per cell
ΔE_f (raw)	-0.803	eV per atom
space group	R-3m, No. 166
spin magnetization	3.0	μB per formula unit

Unit cell a=3.8782 b=3.8782 c=10.2494 alpha=79.09 beta=79.09 gamma=60.00
Last column: nearest neighbours and their distance in Å.
Sites, in units of the cell vectors:
Np: 0.6208 0.6208 0.1375  4 N 2.20-2.31
Np: 0.3792 0.3792 0.8625  4 N 2.20-2.31
Zn: 0.8036 0.8036 0.5892  4 P 2.37-2.57
Zn: 0.1964 0.1964 0.4108  4 P 2.37-2.57
P: 0.1107 0.1107 0.6679  4 Zn 2.37-2.57
P: 0.8893 0.8893 0.3321  4 Zn 2.37-2.57
N: 0.6942 0.6942 0.9174  4 Np 2.20-2.31
N: 0.3058 0.3058 0.0826  4 Np 2.20-2.31

=====

No. 2
Entry from Alexandria via LeMat-Bulk: Np4PaN5 after structural relaxation (GGA-PBE).

Calculated values
DOS(E_F)	19.8	states/eV per cell
ΔE_f (raw)	-1.211	eV per atom
space group	I4/m, No. 87
spin magnetization	12.3	μB per formula unit

Unit cell a=4.8910 b=5.9827 c=5.9827 alpha=80.38 beta=65.87 gamma=65.87
Last column: nearest neighbours and their distance in Å.
Sites, in units of the cell vectors:
Np: 0.4014 0.3999 0.7992  6 N 2.43-2.45
Np: 0.8014 0.7992 0.6001  6 N 2.43-2.45
Np: 0.2007 0.2008 0.3999  6 N 2.43-2.45
Np: 0.6006 0.6001 0.2008  6 N 2.43-2.45
Pa: 0.0011 0.0000 0.0000  6 N 2.45
N: 0.9003 0.4016 0.7997  5 Np 2.43-2.45, 1 Pa 2.45
N: 0.3019 0.7997 0.5984  5 Np 2.43-2.45, 1 Pa 2.45
N: 0.7000 0.2003 0.4016  5 Np 2.43-2.45, 1 Pa 2.45
N: 0.1016 0.5984 0.2003  5 Np 2.43-2.45, 1 Pa 2.45
N: 0.5012 0.0000 0.0000  4 Np 2.44, 2 Pa 2.45

=====

No. 3
Entry from Alexandria via LeMat-Bulk: NpPa4N5 after structural relaxation (GGA-PBE).

Calculated values
DOS(E_F)	11.3	states/eV per cell
ΔE_f (raw)	-1.535	eV per atom
space group	I4/m, No. 87
spin magnetization	3.3	μB per formula unit

Unit cell a=4.9364 b=6.0572 c=6.0572 alpha=80.44 beta=65.95 gamma=65.95
Last column: nearest neighbours and their distance in Å.
Sites, in units of the cell vectors:
Np: 0.0010 0.0000 0.0000  6 N 2.47-2.50
Pa: 0.4002 0.4000 0.8018  6 N 2.46-2.47
Pa: 0.8001 0.8018 0.6000  6 N 2.46-2.47
Pa: 0.2019 0.1982 0.4000  6 N 2.46-2.47
Pa: 0.6019 0.6000 0.1982  6 N 2.46-2.47
N: 0.9006 0.4032 0.7976  5 Pa 2.46-2.47, 1 Np 2.50
N: 0.3039 0.7976 0.5968  5 Pa 2.46-2.47, 1 Np 2.50
N: 0.6982 0.2024 0.4032  5 Pa 2.46-2.47, 1 Np 2.50
N: 0.1014 0.5968 0.2024  5 Pa 2.46-2.47, 1 Np 2.50
N: 0.5011 0.0000 0.0000  2 Np 2.47, 4 Pa 2.47

=====

Question: The lowest spin magnetization belongs to which entry?
Answer: NpZnPN

=====

Question: The highest spin magnetization belongs to which entry?
Answer: Np4PaN5

=====

Question: Which value of ΔE_f (raw) does entry 3 give?
Answer: -1.535 eV per atom

=====

Question: The lowest spin magnetization belongs to which entry?
Answer: NpZnPN